PBE InPt2Pb2, optimized geometry; density of states at the Fermi level = 2.07 states/eV/f.u.; ΔE to the lowest computed polymorph = 101.6 meV per atom; space group = No. 127; energy relative to the elements = -0.1504 eV/atom; magnetization = 0.00 Bohr magnetons per cell
1.0
7.3926 0.0000 0.0000
0.0000 7.3926 0.0000
0.0000 0.0000 4.1924
In Pt Pb
2 4 4
direct
0.0000 0.0000 0.0000
0.5000 0.5000 0.0000
0.1398 0.3602 0.0000
0.3602 0.8602 0.0000
0.6398 0.1398 0.0000
0.8602 0.6398 0.0000
0.1626 0.6626 0.5000
0.3374 0.1626 0.5000
0.6626 0.8374 0.5000
0.8374 0.3374 0.5000